Computed, not measured: crystalline Tm4CdPt7 at its relaxed geometry at the PBE level of DFT.

```
data_Tm4CdPt7
_chemical_formula_sum 'Tm8 Cd2 Pt14'
_cell_length_a 11.0324
_cell_length_b 5.1634
_cell_length_c 10.3035
_cell_angle_alpha 90.00
_cell_angle_beta 121.58
_cell_angle_gamma 90.00
_symmetry_space_group_name_H-M 'C 1 2/m 1'
_symmetry_Int_Tables_number 12
_symmetry_space_group_name_Hall '-C 2y'
loop_
_atom_site_label
_atom_site_type_symbol
_atom_site_fract_x
_atom_site_fract_y
_atom_site_fract_z
Tm1 Tm 0.0941 0.0000 0.2837
Tm2 Tm 0.2293 0.5000 0.1431
Cd1 Cd 0.0000 0.5000 0.5000
Pt1 Pt 0.0000 0.0000 0.5000
Pt2 Pt 0.0762 0.5000 0.8124
Pt3 Pt 0.1342 0.0000 0.0308
Pt4 Pt 0.2131 0.5000 0.3992
```

Computed properties:
Crystal system ... monoclinic
Energy relative to the elements ... -11.11 eV/f.u.
Spin magnetization ... 0.000 μB/f.u.

Computed, not measured: crystalline CaSm8Ho5 at its relaxed geometry at the PBE level of DFT.

```
data_CaSm8Ho5
_chemical_formula_sum 'Ca2 Sm16 Ho10'
_cell_length_a 9.7031
_cell_length_b 9.7031
_cell_length_c 10.2831
_cell_angle_alpha 90.00
_cell_angle_beta 90.00
_cell_angle_gamma 90.00
_symmetry_space_group_name_H-M 'I -4'
_symmetry_Int_Tables_number 82
_symmetry_space_group_name_Hall 'I -4'
loop_
_atom_site_label
_atom_site_type_symbol
_atom_site_fract_x
_atom_site_fract_y
_atom_site_fract_z
Ca1 Ca 0.0000 0.0000 0.0000
Sm1 Sm 0.0707 0.1746 0.6505
Sm2 Sm 0.0924 0.3291 0.9974
Ho1 Ho 0.0000 0.5000 0.7500
Ho2 Ho 0.1105 0.2956 0.3235
```

Computed properties:
Crystal system ... tetragonal
Energy relative to the elements ... 3.39 eV/f.u.
Spin magnetization ... 0.000 μB/f.u.

Computed, not measured: crystalline SmCd4Ag at its relaxed geometry at the PBE level of DFT.

```
data_SmCd4Ag
_chemical_formula_sum 'Sm4 Cd16 Ag4'
_cell_length_a 8.2494
_cell_length_b 8.2494
_cell_length_c 8.2494
_cell_angle_alpha 90.00
_cell_angle_beta 90.00
_cell_angle_gamma 90.00
_symmetry_space_group_name_H-M 'F -4 3 m'
_symmetry_Int_Tables_number 216
_symmetry_space_group_name_Hall 'F -4 2 3'
loop_
_atom_site_label
_atom_site_type_symbol
_atom_site_fract_x
_atom_site_fract_y
_atom_site_fract_z
Sm1 Sm 0.0000 0.0000 0.0000
Cd1 Cd 0.1250 0.1250 0.3750
Ag1 Ag 0.2500 0.2500 0.7500
```

Computed properties:
Crystal system ... cubic
Energy relative to the elements ... -0.47 eV/f.u.
Spin magnetization ... 0.000 μB/f.u.

Computed, not measured: crystalline Pr3SmY6Tm2 at its relaxed geometry at the PBE level of DFT.

```
data_Pr3SmY6Tm2
_chemical_formula_sum 'Pr6 Sm2 Y12 Tm4'
_cell_length_a 6.2412
_cell_length_b 10.8047
_cell_length_c 11.8872
_cell_angle_alpha 90.00
_cell_angle_beta 100.04
_cell_angle_gamma 90.00
_symmetry_space_group_name_H-M 'C 1 2/m 1'
_symmetry_Int_Tables_number 12
_symmetry_space_group_name_Hall '-C 2y'
loop_
_atom_site_label
_atom_site_type_symbol
_atom_site_fract_x
_atom_site_fract_y
_atom_site_fract_z
Pr1 Pr 0.0000 0.0000 0.0000
Pr2 Pr 0.0000 0.3331 0.0000
Sm1 Sm 0.0000 0.5000 0.5000
Y1 Y 0.2482 0.0000 0.7458
Y2 Y 0.2491 0.3331 0.7457
Tm1 Tm 0.0000 0.1667 0.5000
```

Computed properties:
Crystal system ... monoclinic
Energy relative to the elements ... 0.24 eV/f.u.
Spin magnetization ... 0.000 μB/f.u.

Computed, not measured: crystalline NaH4AuBr4O2 at its relaxed geometry at the PBE level of DFT.

```
data_NaH4AuBr4O2
_chemical_formula_sum 'Na4 H16 Au4 Br16 O8'
_cell_length_a 13.4546
_cell_length_b 7.5363
_cell_length_c 9.5297
_cell_angle_alpha 90.00
_cell_angle_beta 90.00
_cell_angle_gamma 90.00
_symmetry_space_group_name_H-M 'P n m a'
_symmetry_Int_Tables_number 62
_symmetry_space_group_name_Hall '-P 2ac 2n'
loop_
_atom_site_label
_atom_site_type_symbol
_atom_site_fract_x
_atom_site_fract_y
_atom_site_fract_z
Na1 Na 0.0124 0.2500 0.0571
H1 H 0.1423 0.0295 0.8759
H2 H 0.1707 0.5411 0.0234
Au1 Au 0.0655 0.2500 0.5102
Br1 Br 0.0450 0.7500 0.2825
Br2 Br 0.0830 0.7500 0.6432
Br3 Br 0.1750 0.2500 0.3010
Br4 Br 0.2138 0.2500 0.6674
O1 O 0.1140 0.0007 0.9678
```

Computed properties:
Crystal system ... orthorhombic
Spin magnetization ... 0.000 μB/f.u.
Uncorrected energy ... -3.7207 eV/atom

Computed, not measured: crystalline Tb6CePr3 at its relaxed geometry at the PBE level of DFT.

```
data_Tb6CePr3
_chemical_formula_sum 'Tb12 Ce2 Pr6'
_cell_length_a 9.1533
_cell_length_b 8.6896
_cell_length_c 8.9986
_cell_angle_alpha 90.00
_cell_angle_beta 100.55
_cell_angle_gamma 90.00
_symmetry_space_group_name_H-M 'C 1 2/m 1'
_symmetry_Int_Tables_number 12
_symmetry_space_group_name_Hall '-C 2y'
loop_
_atom_site_label
_atom_site_type_symbol
_atom_site_fract_x
_atom_site_fract_y
_atom_site_fract_z
Tb1 Tb 0.1176 0.0000 0.3685
Tb2 Tb 0.1202 0.3188 0.8555
Ce1 Ce 0.0000 0.0000 0.0000
Pr1 Pr 0.0000 0.5000 0.5000
Pr2 Pr 0.2213 0.5000 0.2334
```

Computed properties:
Crystal system ... monoclinic
Energy relative to the elements ... 3.00 eV/f.u.
Spin magnetization ... 1.157 μB/f.u.